# 1
Entry from Alexandria via LeMat-Bulk: an optimized crystal structure of Te2PbAu (GGA-PBE).

Computed properties:
Crystal system ... trigonal
Symmetry ... R3m

```
4
Lattice="-7.145 1.275 -3.392 -7.510 -2.542 -1.148 -7.836 1.335 0.996" Properties=species:S:1:pos:R:3 pbc="T T T"
Au -11.663 0.035 -1.837
Te -0.222 0.001 -0.035
Te -4.942 0.015 -0.778
Pb -16.911 0.051 -2.664
```

***

# 2
Entry from Alexandria via LeMat-Bulk: an optimized crystal structure of TePb2Au (GGA-PBE).

Computed properties:
Crystal system ... monoclinic
Symmetry ... C2/m

```
4
Lattice="-0.155 -0.232 -4.372 3.530 -1.266 -2.265 -1.117 -7.490 -1.722" Properties=species:S:1:pos:R:3 pbc="T T T"
Pb 1.183 -4.311 -4.186
Pb 3.320 -1.681 -6.632
Te 1.693 -6.742 -6.270
Au 0.564 -2.247 -2.090
```

***

# 3
Entry from Alexandria via LeMat-Bulk: an optimized crystal structure of Te2PbAu (GGA-PBE).

Computed properties:
Crystal system ... orthorhombic
Symmetry ... Cmmm

```
4
Lattice="-1.402 0.043 4.039 4.034 -1.121 -0.866 2.320 7.792 0.722" Properties=species:S:1:pos:R:3 pbc="T T T"
Pb 3.056 5.305 2.128
Te 1.087 3.652 0.338
Te 0.073 0.244 0.023
Au 1.896 1.409 1.767
```

***

# 4
Entry from Alexandria via LeMat-Bulk: an optimized crystal structure of Te2PbAu (GGA-PBE).

Computed properties:
Crystal system ... orthorhombic
Symmetry ... Cmm2

```
4
Lattice="3.267 0.062 0.000 -0.497 3.230 0.000 0.000 0.000 10.775" Properties=species:S:1:pos:R:3 pbc="T T T"
Te 0.000 0.000 10.505
Te 1.385 1.646 3.322
Au 0.000 0.000 5.506
Pb 1.385 1.646 7.603
```

***

# 5
Entry from Alexandria via LeMat-Bulk: an optimized crystal structure of TePb2Au (GGA-PBE).

Computed properties:
Crystal system ... orthorhombic
Symmetry ... Cmmm

```
4
Lattice="-4.943 -0.461 1.922 1.868 -2.738 4.166 0.469 3.402 2.029" Properties=species:S:1:pos:R:3 pbc="T T T"
Pb 0.000 0.000 0.000
Pb -1.538 -1.600 3.044
Te -2.237 1.471 1.976
Au 1.169 0.332 3.098
```

***

# 6
Entry from Alexandria via LeMat-Bulk: an optimized crystal structure of Te2PbAu (GGA-PBE).

Computed properties:
Crystal system ... trigonal
Symmetry ... R3m

```
4
Lattice="4.255 0.000 0.000 2.128 3.685 0.000 2.128 1.228 7.482" Properties=species:S:1:pos:R:3 pbc="T T T"
Au 6.383 3.685 7.463
Te 2.128 1.228 5.925
Te 2.128 1.228 1.587
Pb 4.255 2.457 3.729
```

***

| no. | DFT total energy (eV per cell) |
| --- | --- |
| 1 | -13.654 |
| 2 | -14.523 |
| 3 | -13.001 |
| 4 | -12.853 |
| 5 | -14.040 |
| 6 | -13.669 |